Entry 1:
! Na5TlCd2 GGA-PBE relaxed; values from VASP
! SG = Cmcm, No. 63
! Calculated formation energy = 11 meV/atom
! Polymorph energy (0 for the lowest one) = 0.0612 eV/atom
&SYSTEM
  ibrav = 0, nat = 16, ntyp = 3
/
ATOMIC_SPECIES
Na 22.99 Na.upf
Tl 204.38 Tl.upf
Cd 112.41 Cd.upf
CELL_PARAMETERS angstrom
1.6277 -8.1734 0.0000
1.6277 8.1734 0.0000
0.0000 0.0000 18.8373
ATOMIC_POSITIONS crystal
Na 0.0360 0.9640 0.6477
Na 0.0360 0.9640 0.8523
Na 0.1396 0.8604 0.2500
Na 0.2539 0.7461 0.5887
Na 0.2539 0.7461 0.9113
Na 0.7461 0.2539 0.0887
Na 0.7461 0.2539 0.4113
Na 0.8604 0.1396 0.7500
Na 0.9640 0.0360 0.1477
Na 0.9640 0.0360 0.3523
Tl 0.1876 0.8124 0.7500
Tl 0.8124 0.1876 0.2500
Cd 0.0909 0.9091 0.0183
Cd 0.0909 0.9091 0.4817
Cd 0.9091 0.0909 0.5183
Cd 0.9091 0.0909 0.9817

***

Entry 2:
! Na2TlCd6 GGA-PBE relaxed; values from VASP
! SG = C2/m, No. 12
! Calculated formation energy = -68 meV/atom
! Polymorph energy (0 for the lowest one) = 0.0000 eV/atom
&SYSTEM
  ibrav = 0, nat = 9, ntyp = 3
/
ATOMIC_SPECIES
Na 22.99 Na.upf
Tl 204.38 Tl.upf
Cd 112.41 Cd.upf
CELL_PARAMETERS angstrom
7.8007 -4.5052 0.0000
7.8007 4.5052 0.0000
-0.0021 0.0000 3.2435
ATOMIC_POSITIONS crystal
Na 0.1666 0.1666 0.0001
Na 0.8334 0.8334 0.9999
Tl 0.5000 0.5000 0.0000
Cd 0.1652 0.4999 0.4925
Cd 0.1653 0.8347 0.5000
Cd 0.4999 0.1652 0.4925
Cd 0.5001 0.8348 0.5075
Cd 0.8347 0.1653 0.5000
Cd 0.8348 0.5001 0.5075

***

Entry 3:
! Na7Tl12Cd GGA-PBE relaxed; values from VASP
! SG = R-3m, No. 166
! Calculated formation energy = -1 meV/atom
! Polymorph energy (0 for the lowest one) = 0.0580 eV/atom
&SYSTEM
  ibrav = 0, nat = 20, ntyp = 3
/
ATOMIC_SPECIES
Na 22.99 Na.upf
Tl 204.38 Tl.upf
Cd 112.41 Cd.upf
CELL_PARAMETERS angstrom
8.2972 4.7904 2.5918
-8.2972 4.7904 2.5918
0.0000 -9.5808 2.5918
ATOMIC_POSITIONS crystal
Na 0.0000 0.0000 0.0000
Na 0.0273 0.6894 0.6894
Na 0.3106 0.3106 0.9727
Na 0.3106 0.9727 0.3106
Na 0.6894 0.0273 0.6894
Na 0.6894 0.6894 0.0273
Na 0.9727 0.3106 0.3106
Tl 0.1085 0.1085 0.4441
Tl 0.1085 0.4441 0.1085
Tl 0.2296 0.5000 0.7704
Tl 0.2296 0.7704 0.5000
Tl 0.4441 0.1085 0.1085
Tl 0.5000 0.2296 0.7704
Tl 0.5000 0.7704 0.2296
Tl 0.5559 0.8915 0.8915
Tl 0.7704 0.2296 0.5000
Tl 0.7704 0.5000 0.2296
Tl 0.8915 0.5559 0.8915
Tl 0.8915 0.8915 0.5559
Cd 0.5000 0.5000 0.5000

***

Entry 4:
! NaTl5Cd2 GGA-PBE relaxed; values from VASP
! SG = I4/mcm, No. 140
! Calculated formation energy = 0 meV/atom
! Polymorph energy (0 for the lowest one) = 0.0121 eV/atom
&SYSTEM
  ibrav = 0, nat = 16, ntyp = 3
/
ATOMIC_SPECIES
Na 22.99 Na.upf
Tl 204.38 Tl.upf
Cd 112.41 Cd.upf
CELL_PARAMETERS angstrom
-4.2057 4.2057 6.5607
4.2057 -4.2057 6.5607
4.2057 4.2057 -6.5607
ATOMIC_POSITIONS crystal
Na 0.2500 0.2500 0.0000
Na 0.7500 0.7500 0.0000
Tl 0.0000 0.0000 0.0000
Tl 0.0042 0.5042 0.1931
Tl 0.1889 0.9958 0.5000
Tl 0.3111 0.8111 0.8069
Tl 0.4958 0.6889 0.5000
Tl 0.5000 0.5000 0.0000
Tl 0.5042 0.3111 0.5000
Tl 0.6889 0.1889 0.1931
Tl 0.8111 0.0042 0.5000
Tl 0.9958 0.4958 0.8069
Cd 0.1398 0.3602 0.5000
Cd 0.3602 0.8602 0.2205
Cd 0.6398 0.1398 0.7795
Cd 0.8602 0.6398 0.5000

***

Entry 5:
! Na5Tl4Cd4 GGA-PBE relaxed; values from VASP
! SG = I4/m, No. 87
! Calculated formation energy = -66 meV/atom
&SYSTEM
  ibrav = 0, nat = 13, ntyp = 3
/
ATOMIC_SPECIES
Na 22.99 Na.upf
Tl 204.38 Tl.upf
Cd 112.41 Cd.upf
CELL_PARAMETERS angstrom
-6.5283 6.5283 2.1756
6.5283 -6.5283 2.1756
6.5283 6.5283 -2.1756
ATOMIC_POSITIONS crystal
Na 0.0000 0.0000 0.0000
Na 0.2810 0.6373 0.9182
Na 0.3627 0.2810 0.6437
Na 0.6373 0.7190 0.3563
Na 0.7190 0.3627 0.0818
Tl 0.0545 0.7649 0.8195
Tl 0.2351 0.0545 0.2896
Tl 0.7649 0.9455 0.7104
Tl 0.9455 0.2351 0.1805
Cd 0.1000 0.4268 0.5267
Cd 0.4268 0.9000 0.3268
Cd 0.5732 0.1000 0.6732
Cd 0.9000 0.5732 0.4733

***

Entry 6:
! Na16Tl12Cd GGA-PBE relaxed; values from VASP
! SG = Cm, No. 8
! Calculated formation energy = -102 meV/atom
&SYSTEM
  ibrav = 0, nat = 29, ntyp = 3
/
ATOMIC_SPECIES
Na 22.99 Na.upf
Tl 204.38 Tl.upf
Cd 112.41 Cd.upf
CELL_PARAMETERS angstrom
5.9737 -8.4540 0.0000
5.9737 8.4540 0.0000
-5.9098 0.0000 8.4132
ATOMIC_POSITIONS crystal
Na 0.0000 0.0000 0.0000
Na 0.2649 0.5701 0.9282
Na 0.2946 0.7071 0.6472
Na 0.3192 0.3192 0.6729
Na 0.3974 0.9900 0.0312
Na 0.3998 0.6683 0.3329
Na 0.5701 0.2649 0.9282
Na 0.5724 0.5724 0.6195
Na 0.6471 0.9844 0.3387
Na 0.6683 0.3998 0.3329
Na 0.6758 0.9860 0.7550
Na 0.7071 0.2946 0.6472
Na 0.9844 0.6471 0.3387
Na 0.9851 0.9851 0.3340
Na 0.9860 0.6758 0.7550
Na 0.9900 0.3974 0.0312
Tl 0.1748 0.7932 0.1511
Tl 0.1770 0.9850 0.7199
Tl 0.1786 0.3680 0.3353
Tl 0.3680 0.1786 0.3353
Tl 0.3692 0.9864 0.5299
Tl 0.6033 0.7954 0.9581
Tl 0.6076 0.6076 0.1535
Tl 0.7932 0.1748 0.1511
Tl 0.7954 0.6033 0.9581
Tl 0.7992 0.7992 0.5386
Tl 0.9850 0.1770 0.7199
Tl 0.9864 0.3692 0.5299
Cd 0.3003 0.3003 0.0470